No. 1
Here is crystalline Tb4ZnAu3 at its relaxed geometry from the Alexandria database. Energies are from PBE.

For the formation energy, the calculation gives -0.7277 eV/atom.

The structure belongs to space group P4/mmm (No. 123); the cell edges are 3.614, 3.614 and 14.348 Å and the angles 90.00°, 90.00° and 90.00°. The asymmetric unit holds Tb at (0.000, 0.000, 0.123), Tb at (0.000, 0.000, 0.374), Zn at (0.500, 0.500, 0.000), Au at (0.500, 0.500, 0.245) and Au at (0.500, 0.500, 0.500).

---

No. 2
Here is crystalline TbZn4Au4 at its relaxed geometry from the Alexandria database. Energies are from PBE.

For the formation energy, the calculation gives -0.2923 eV/atom.

The structure belongs to space group I4/m (No. 87); the cell edges are 8.413, 8.413 and 4.801 Å and the angles 90.00°, 90.00° and 90.00°. The asymmetric unit holds Tb at (0.000, 0.000, 0.000), Zn at (0.117, 0.222, 0.500) and Au at (0.076, 0.346, 0.000).

---

No. 3
Here is crystalline Tb4Zn2Au at its relaxed geometry from the Alexandria database. Energies are from PBE.

For the formation energy, the calculation gives -0.3192 eV/atom.

The structure belongs to space group I-42d (No. 122); the cell edges are 8.979, 8.979 and 8.877 Å and the angles 90.00°, 90.00° and 90.00°. The asymmetric unit holds Tb at (0.070, 0.678, 0.447), Zn at (0.119, 0.750, 0.125) and Au at (0.000, 0.000, 0.500).